Run w
The following is a PBE calculation of an optimized crystal structure of YMnC, from Alexandria.

Values from the calculation:
The volume is 192.75 Å³/cell. The density of states at the Fermi level comes out at 0.774 states/eV/atom. As for the crystal system: orthorhombic.

Unit cell a=8.693 b=4.430 c=5.004 alpha=90.00 beta=90.00 gamma=90.00
Space group Pnma (No. 62)
Asymmetric unit:
Y  0.161  0.250  0.012 (multiplicity 4)
Mn  0.000  0.000  0.500 (multiplicity 4)
C  0.093  0.750  0.240 (multiplicity 4)

***

Run x
The following is a PBE calculation of an optimized crystal structure of YMnC, from Alexandria.

Values from the calculation:
The volume is 41.97 Å³/cell. The density of states at the Fermi level comes out at 0.749 states/eV/atom. As for the crystal system: trigonal.

Unit cell a=3.4105 b=3.4105 c=4.1661 alpha=90.00 beta=90.00 gamma=120.00
Space group P3m1 (No. 156)
Asymmetric unit:
Y  0.0000  0.0000  0.0000 (multiplicity 1)
Mn  0.6667  0.3333  0.5008 (multiplicity 1)
C  0.3333  0.6667  0.5018 (multiplicity 1)

***

Looking at the structures above, which would you pick as the most stable? I would pick run w.